The following is a PBE calculation of a geometry-optimized Pr4ZnI5 structure, from Alexandria via LeMat-Bulk.

Cell: 10.0885 10.0885 9.3429 Å, 102.26 102.26 24.32°
With the nearest neighbours (Å) after each atom.
Sites, in units of the cell vectors:
1 Pr 0.0001 0.0001 0.2238  2 Zn 2.98, 2 I 3.24-3.33
2 Pr 0.9999 0.9999 0.7762  2 Zn 2.98, 2 I 3.24-3.33
3 Pr 0.3485 0.3485 0.9247  1 Zn 2.92, 4 I 3.22-3.27
4 Pr 0.6515 0.6515 0.0753  1 Zn 2.92, 4 I 3.22-3.27
5 Zn 0.5000 0.5000 0.0000  6 Pr 2.92-2.98
6 I 0.1675 0.1675 0.3396  3 Pr 3.22-3.24
7 I 0.1723 0.1723 0.8225  4 Pr 3.27-3.40
8 I 0.5000 0.5000 0.5000  4 Pr 3.34
9 I 0.8277 0.8277 0.1775  4 Pr 3.27-3.40
10 I 0.8325 0.8325 0.6604  3 Pr 3.22-3.24

Computed properties:
Formation energy (no corrections) (meV per atom): -1072
Density of states at the Fermi level (states/eV per cell): 4.0
SG: No. 12
DFT total energy (eV/atom): -3.89

***

The following is a PBE calculation of a geometry-optimized Mn5CrFe structure, from Alexandria via LeMat-Bulk.

Cell: 4.2959 4.3053 4.3106 Å, 99.41 99.70 99.43°
With the nearest neighbours (Å) after each atom.
Sites, in units of the cell vectors:
1 Mn 0.0000 0.0000 0.0000  8 Mn 2.43-2.55, 2 Fe 2.47, 2 Cr 2.49-2.51
2 Mn 0.1345 0.5667 0.2888  2 Fe 2.43-2.52, 8 Mn 2.44-2.51, 2 Cr 2.50-2.51
3 Mn 0.4116 0.7150 0.8502  8 Mn 2.43-2.55, 2 Fe 2.47-2.48, 2 Cr 2.50-2.51
4 Mn 0.5578 0.2901 0.1348  8 Mn 2.44-2.54, 2 Fe 2.46-2.50, 2 Cr 2.48-2.51
5 Mn 0.8465 0.4282 0.7195  8 Mn 2.44-2.54, 2 Cr 2.47-2.53, 2 Fe 2.47-2.48
6 Cr 0.7050 0.8655 0.4256  10 Mn 2.47-2.53, 2 Fe 2.47-2.48
7 Fe 0.2747 0.1482 0.5698  10 Mn 2.43-2.52, 2 Cr 2.47-2.48

Computed properties:
Density of states at the Fermi level (states/eV per cell): 9.4
SG: No. 1
DFT total energy (eV/atom): -9.02

***

The following is a PBE calculation of a geometry-optimized CaCdMo2 structure, from Alexandria via LeMat-Bulk.

Cell: 5.7204 5.7204 5.7204 Å, 145.40 126.38 65.40°
With the nearest neighbours (Å) after each atom.
Sites, in units of the cell vectors:
1 Ca 0.0000 0.0000 0.0000  8 Mo 3.13-3.38, 4 Cd 3.18-3.34, 2 Ca 3.40
2 Cd 0.2795 0.7795 0.5000  8 Mo 3.10-3.41, 4 Ca 3.18-3.34, 2 Cd 3.40
3 Mo 0.5485 0.5485 0.0000  2 Mo 2.41
4 Mo 0.7264 0.2264 0.5000  2 Mo 2.41

Computed properties:
Density of states at the Fermi level (states/eV per cell): 2.7
SG: No. 44
DFT total energy (eV/atom): -5.67